Computed, not measured: AlAg4 at its PBEsol-relaxed geometry at the SCAN level of DFT.

Values from the calculation:
calculated volume = 16.24 A^3/atom
magnetic moment = 0.00 Bohr magnetons per cell
calculated density = 9.37 g/cm³
space group = No. 12
E = -26.72 eV/atom
energy of formation from the pure elements = -0.075 eV per atom

Cell lengths 4.992, 4.992, 6.984 Å; angles 120.82, 120.82, 33.53 degrees
Atoms (fractional coordinates):
Al 0.000 0.000 0.000
Ag 0.212 0.212 0.803
Ag 0.409 0.409 0.614
Ag 0.591 0.591 0.386
Ag 0.788 0.788 0.197